[1]
A plane-wave DFT calculation with PBE-GGA was carried out for a relaxed structure of KPm2Cl8.

Unit cell a=7.1960 b=7.1960 c=8.0080 alpha=100.50 beta=100.50 gamma=72.86
Last column: nearest neighbours and their distance in Å.
Element x y z (fractional)
K (0.0000, 0.0000, 0.0000)  6 Cl 3.16-3.25
Pm (0.3227, 0.3227, 0.5400)  7 Cl 2.71-2.84
Pm (0.6773, 0.6773, 0.4600)  7 Cl 2.71-2.84
Cl (0.0398, 0.6510, 0.6775)  2 Pm 2.82-2.84
Cl (0.2029, 0.2029, 0.7947)  1 Pm 2.71
Cl (0.3490, 0.9602, 0.3225)  2 Pm 2.82-2.84
Cl (0.4434, 0.4434, 0.2805)  2 Pm 2.75-2.76
Cl (0.5566, 0.5566, 0.7195)  2 Pm 2.75-2.76
Cl (0.6510, 0.0398, 0.6775)  2 Pm 2.82-2.84
Cl (0.7971, 0.7971, 0.2053)  1 Pm 2.71
Cl (0.9602, 0.3490, 0.3225)  2 Pm 2.82-2.84

## Properties
D(E_F) ... 5.287 states/eV/f.u.
Formation energy without anion corrections ... -1.940 eV/atom
Raw total energy ... -46.71 eV for the cell shown
Space-group type ... No. 12
Mass density ... 2.6 Mg/m³
Energy above the lowest structure with this stoichiometry ... 65 meV/atom



[2]
A plane-wave DFT calculation with PBE-GGA was carried out for a relaxed structure of CsNpHgSe3.

Unit cell a=9.2823 b=4.2104 c=11.1083 alpha=90.00 beta=109.56 gamma=90.00
Last column: nearest neighbours and their distance in Å.
Element x y z (fractional)
Cs (0.2314, 0.2500, 0.2760)  7 Se 3.67-3.95, 1 Hg 3.81
Cs (0.7686, 0.7500, 0.7240)  7 Se 3.67-3.95, 1 Hg 3.81
Np (0.3412, 0.7500, 0.8473)  6 Se 2.77-2.86
Np (0.6588, 0.2500, 0.1527)  6 Se 2.77-2.86
Hg (0.1079, 0.2500, 0.5702)  3 Se 2.86, 2 Hg 2.96
Hg (0.8921, 0.7500, 0.4298)  3 Se 2.86, 2 Hg 2.96
Se (0.1285, 0.2500, 0.8325)  2 Np 2.85, 1 Hg 2.86
Se (0.3243, 0.7500, 0.5938)  1 Np 2.77, 2 Hg 2.86
Se (0.4403, 0.7500, 0.1191)  3 Np 2.85-2.86
Se (0.5597, 0.2500, 0.8809)  3 Np 2.85-2.86
Se (0.6757, 0.2500, 0.4062)  1 Np 2.77, 2 Hg 2.86
Se (0.8715, 0.7500, 0.1675)  2 Np 2.85, 1 Hg 2.86

## Properties
D(E_F) ... 9.438 states/eV/f.u.
Formation energy without anion corrections ... -0.912 eV/atom
Raw total energy ... -60.04 eV for the cell shown
Space-group type ... No. 11
Mass density ... 6.6 Mg/m³



[3]
A plane-wave DFT calculation with PBE-GGA was carried out for a relaxed structure of TcMoP2.

Unit cell a=6.5660 b=6.5660 c=6.5660 alpha=132.08 beta=132.08 gamma=70.10
Last column: nearest neighbours and their distance in Å.
Element x y z (fractional)
Tc (0.0000, 0.0000, 0.0000)  4 P 2.28
Tc (0.7500, 0.2500, 0.5000)  4 P 2.28
Mo (0.2500, 0.7500, 0.5000)  4 P 2.35
Mo (0.5000, 0.5000, 0.0000)  4 P 2.35
P (0.1137, 0.6250, 0.9887)  2 Tc 2.28, 2 Mo 2.35
P (0.3750, 0.3637, 0.4887)  2 Tc 2.28, 2 Mo 2.35
P (0.6363, 0.1250, 0.0113)  2 Tc 2.28, 2 Mo 2.35
P (0.8750, 0.8863, 0.5113)  2 Tc 2.28, 2 Mo 2.35

## Properties
Energy of formation ... 107 meV/atom
D(E_F) ... 3.825 states/eV/f.u.
Raw total energy ... -63.17 eV for the cell shown
Space-group type ... No. 122
Mass density ... 5.6 Mg/m³
Energy above the lowest structure with this stoichiometry ... 659 meV/atom